Entry from Alexandria: a geometry-optimized CsCe2Dy2O7 structure (PBE).

```
12
Lattice="-2.3110 2.3110 9.8648 2.3110 -2.3110 9.8648 2.3110 2.3110 -9.8648" Properties=species:S:1:pos:R:3 pbc="T T T"
Cs 0.0000 0.0000 0.0000
Ce 0.0000 0.0000 7.6693
Ce 0.0000 0.0000 12.0603
Dy 2.3110 0.0000 4.9324
Dy 0.0000 2.3110 4.9324
O 2.3110 0.0000 2.6769
O 0.0000 0.0000 5.1913
O 2.3110 0.0000 7.1879
O 0.0000 0.0000 9.8648
O 0.0000 2.3110 2.6769
O 0.0000 0.0000 14.5383
O 0.0000 2.3110 7.1879
```

uncorrected formation energy	-3.119	eV/atom

=====

Entry from Alexandria: a geometry-optimized Cs2CeDy3O8 structure (PBE).

```
14
Lattice="3.5091 2.0260 7.1926 -3.5091 2.0260 7.1926 0.0000 -4.0520 7.1926" Properties=species:S:1:pos:R:3 pbc="T T T"
Cs 0.0000 0.0000 0.0000
Cs 0.0000 0.0000 7.5070
Ce 0.0000 0.0000 11.1704
Dy 0.0000 2.0027 18.0163
Dy 1.7344 -1.0013 18.0163
Dy -1.7344 -1.0013 18.0163
O -1.8059 -1.0427 12.0145
O 0.0000 0.0000 4.6750
O 0.0000 -1.9411 9.8759
O -1.6810 0.9705 9.8759
O 1.8059 -1.0427 12.0145
O 0.0000 2.0853 12.0145
O 1.6810 0.9705 9.8759
O 0.0000 0.0000 16.9786
```

uncorrected formation energy	-2.836	eV/atom

=====

Entry from Alexandria: a geometry-optimized Cs4CeDy3S8 structure (PBE).

```
16
Lattice="4.1492 2.3955 8.0594 -4.1492 2.3955 8.0594 0.0000 -4.7911 8.0594" Properties=species:S:1:pos:R:3 pbc="T T T"
Cs 0.0000 0.0000 0.0000
Cs -2.0746 -1.1978 8.0594
Cs -2.0746 1.1978 16.1188
Cs 0.0000 2.3955 8.0594
Ce 0.0000 0.0000 12.0891
Dy -4.1492 0.0000 12.0891
Dy -2.0746 1.1978 4.0297
Dy 2.0746 1.1978 4.0297
S -2.1198 -1.2239 13.5601
S 0.0000 0.0000 5.4880
S 0.0000 -2.4477 10.6181
S -2.1198 1.2239 10.6181
S 2.1198 -1.2238 13.5601
S 0.0000 2.4477 13.5601
S 0.0000 0.0000 18.6903
S 2.1198 1.2239 10.6181
```

uncorrected formation energy	-1.809	eV/atom

=====

Entry from Alexandria: a geometry-optimized Cs3Ce2DyS6 structure (PBE).

```
12
Lattice="3.6550 -6.3305 0.0000 3.6550 6.3305 0.0000 -2.4367 0.0000 8.0572" Properties=species:S:1:pos:R:3 pbc="T T T"
Cs 0.0000 0.0000 0.0000
Cs 3.6550 2.1159 0.0000
Cs 3.6550 -2.1159 0.0000
Ce 2.4366 4.2207 4.0286
Ce 2.4366 -4.2207 4.0286
Dy 2.4366 0.0000 4.0286
S 1.2477 2.0590 2.5503
S 0.0589 0.0000 5.5097
S 1.2477 -2.0590 2.5503
S 3.6256 2.0590 5.5069
S 4.8143 0.0000 2.5475
S 3.6256 -2.0590 5.5069
```

uncorrected formation energy	-1.774	eV/atom

=====

Entry from Alexandria: a geometry-optimized CsCeDy4S8 structure (PBE).

```
14
Lattice="4.1534 2.3980 6.9953 -4.1534 2.3980 6.9953 0.0000 -4.7959 6.9953" Properties=species:S:1:pos:R:3 pbc="T T T"
Cs 0.0000 0.0000 0.0000
Ce 0.0000 0.0000 13.3116
Dy -2.1457 -1.2388 9.6909
Dy 0.0000 0.0000 5.3570
Dy 2.1457 -1.2388 9.6909
Dy 0.0000 2.4777 9.6909
S 0.0000 -2.3010 11.3801
S -1.9927 1.1505 11.3801
S 0.0000 0.0000 8.1036
S -1.7437 -1.0067 15.1850
S 0.0000 0.0000 17.9783
S 1.9927 1.1505 11.3801
S 1.7437 -1.0067 15.1850
S 0.0000 2.0135 15.1850
```

uncorrected formation energy	-1.841	eV/atom

=====

Entry from Alexandria: a geometry-optimized Cs3CeDy2S6 structure (PBE).

```
12
Lattice="3.6061 -6.2459 0.0000 3.6061 6.2459 0.0000 -2.4046 0.0000 8.0596" Properties=species:S:1:pos:R:3 pbc="T T T"
Cs 0.0000 0.0000 0.0000
Cs 3.6061 2.0749 0.0000
Cs 3.6061 -2.0749 0.0000
Ce 2.4038 0.0000 4.0298
Dy 2.4038 4.1637 4.0298
Dy 2.4038 -4.1637 4.0298
S 1.1724 2.1331 2.5594
S -0.0592 0.0000 5.4976
S 1.1724 -2.1331 2.5594
S 3.6353 2.1331 5.5002
S 4.8668 0.0000 2.5620
S 3.6353 -2.1331 5.5002
```

uncorrected formation energy	-1.802	eV/atom

=====

Number 1: total magnetic moment 0.77 μB per formula unit. Number 2: total magnetic moment 1.17 μB per formula unit. Number 3: total magnetic moment 0.96 μB per formula unit. Number 4: total magnetic moment 2.01 μB per formula unit. Number 5: total magnetic moment 1.01 μB per formula unit. Number 6: total magnetic moment 0.99 μB per formula unit.